Record 1
# KSbI2Br

A geometry-optimized KSbI2Br structure (PBE, Alexandria via LeMat-Bulk).

POSCAR file:
```
KSbI2Br
1.0
6.743 0.000 0.000
0.000 6.743 0.000
0.000 0.000 5.488
Sb I Br K
1 2 1 1
Direct
0.000 0.000 0.500 Sb
0.000 0.500 0.000 I
0.500 0.000 0.000 I
0.000 0.000 0.000 Br
0.500 0.500 0.500 K
```

Results
Formation energy without anion corrections ... -2.143 kcal/mol of atoms
D(E_F) ... 6.57 states/eV/f.u.



Record 2
# HoTm3Rh2

A geometry-optimized HoTm3Rh2 structure (PBE, Alexandria via LeMat-Bulk).

POSCAR file:
```
HoTm3Rh2
1.0
-6.242 2.201 -0.178
-2.317 -6.586 -0.159
4.059 2.109 6.880
Tm Rh Ho
6 4 2
Direct
0.500 0.750 0.000 Tm
0.232 0.482 0.464 Tm
0.768 0.018 0.536 Tm
0.500 0.250 0.000 Tm
0.768 0.518 0.536 Tm
0.232 0.982 0.464 Tm
0.849 0.139 0.277 Rh
0.151 0.861 0.723 Rh
0.428 0.639 0.277 Rh
0.572 0.361 0.723 Rh
0.000 0.000 0.000 Ho
0.000 0.500 0.000 Ho
```

Results
D(E_F) ... 4.71 states/eV/f.u.
Energy of formation ... -59 kJ/mol of atoms



Record 3
# Ti3In2Sn

A geometry-optimized Ti3In2Sn structure (PBE, Alexandria via LeMat-Bulk).

POSCAR file:
```
Ti3In2Sn
1.0
4.794 0.000 0.000
-2.397 4.151 0.000
0.000 0.000 5.891
Ti In Sn
3 2 1
Direct
0.000 0.000 0.500 Ti
0.667 0.333 0.862 Ti
0.333 0.667 0.138 Ti
0.667 0.333 0.356 In
0.333 0.667 0.644 In
0.000 0.000 0.000 Sn
```

Results
D(E_F) ... 9.80 states/eV/f.u.
Energy of formation ... -3 kJ/mol of atoms